Na2CaPb2 after structural relaxation. Source: the Alexandria database, functional PBE-GGA.

a b c (Å): 3.8218 7.6534 11.7751
angles (deg): 119.20 99.34 90.00
With the nearest neighbours (Å) after each atom.
Sites, in units of the cell vectors:
Pb: 0.3928 0.3391 0.7857  4 Na 3.26-3.27, 4 Ca 3.46
Pb: 0.6071 0.1609 0.2143  4 Na 3.26-3.27, 4 Ca 3.46
Pb: 0.6072 0.6609 0.2143  4 Na 3.26-3.27, 4 Ca 3.46
Pb: 0.3929 0.8391 0.7857  4 Na 3.26-3.27, 4 Ca 3.46
Na: 0.8028 0.9531 0.6047  4 Pb 3.26-3.27, 4 Na 3.43-3.44
Na: 0.1981 0.5469 0.3953  4 Pb 3.26-3.27, 4 Na 3.43-3.44
Na: 0.8019 0.4531 0.6047  4 Pb 3.26-3.27, 4 Na 3.43-3.44
Na: 0.1972 0.0469 0.3953  4 Pb 3.26-3.27, 4 Na 3.43-3.44
Ca: 0.0002 0.7500 0.0000  8 Pb 3.46, 4 Ca 3.82-3.83
Ca: 0.9998 0.2500 0.0000  8 Pb 3.46, 4 Ca 3.82-3.83

Values from the calculation:
formation energy from the elements = -27 kJ/mol of atoms

AlTe2Ir after structural relaxation. Source: the Alexandria database, functional PBE-GGA.

a b c (Å): 6.1004 6.1004 7.4759
angles (deg): 65.92 65.92 90.00
With the nearest neighbours (Å) after each atom.
Sites, in units of the cell vectors:
Al: 0.5000 0.5000 0.0000  4 Te 2.72
Al: 0.2500 0.7500 0.5000  4 Te 2.72
Ir: 0.7500 0.2500 0.5000  4 Te 2.57
Ir: 0.0000 0.0000 0.0000  4 Te 2.57
Te: 0.3750 0.3549 0.7500  2 Ir 2.57, 2 Al 2.72
Te: 0.6451 0.1250 0.2500  2 Ir 2.57, 2 Al 2.72
Te: 0.1049 0.6250 0.2500  2 Ir 2.57, 2 Al 2.72
Te: 0.8750 0.8951 0.7500  2 Ir 2.57, 2 Al 2.72

Values from the calculation:
formation energy without anion corrections = 57 meV per atom

Sequential D(E_F) output: 0.5456, 0.6008 states/eV per atom